A plane-wave DFT calculation with GGA-PBE was carried out for an optimized crystal structure of Rb2Na4TlPb2.

Computed properties:
SG: C2/m
D(E_F) in states/eV/atom: 0.4624
ΔE_f in eV per atom: -0.06

Geometry as CIF:
```
data_Rb2Na4TlPb2
_cell_length_a 5.790
_cell_length_b 8.741
_cell_length_c 8.741
_cell_angle_alpha 56.25
_cell_angle_beta 76.06
_cell_angle_gamma 76.06
_symmetry_space_group_name_H-M 'P 1'
_symmetry_Int_Tables_number 1
_symmetry_space_group_name_Hall 'P 1'
loop_
_atom_site_label
_atom_site_type_symbol
_atom_site_fract_x
_atom_site_fract_y
_atom_site_fract_z
Rb1 Rb 0.330 0.630 0.630
Rb2 Rb 0.670 0.370 0.370
Na1 Na 0.171 0.661 0.063
Na2 Na 0.829 0.937 0.339
Na3 Na 0.829 0.339 0.937
Na4 Na 0.171 0.063 0.661
Tl1 Tl 0.500 0.000 0.000
Pb1 Pb 0.279 0.197 0.197
Pb2 Pb 0.721 0.803 0.803
```

---

A plane-wave DFT calculation with GGA-PBE was carried out for an optimized crystal structure of Ho5Cd6Ag.

Computed properties:
SG: Immm
D(E_F) in states/eV/atom: 0.7752
ΔE_f in eV per atom: -0.27

Geometry as CIF:
```
data_Ho5Cd6Ag
_cell_length_a 5.146
_cell_length_b 7.454
_cell_length_c 8.975
_cell_angle_alpha 114.54
_cell_angle_beta 106.66
_cell_angle_gamma 90.00
_symmetry_space_group_name_H-M 'P 1'
_symmetry_Int_Tables_number 1
_symmetry_space_group_name_Hall 'P 1'
loop_
_atom_site_label
_atom_site_type_symbol
_atom_site_fract_x
_atom_site_fract_y
_atom_site_fract_z
Ho1 Ho 0.330 0.830 0.660
Ho2 Ho 0.666 0.666 0.333
Ho3 Ho 0.000 0.500 0.000
Ho4 Ho 0.334 0.334 0.667
Ho5 Ho 0.670 0.170 0.340
Ag1 Ag 0.000 0.000 0.000
Cd1 Cd 0.159 0.394 0.317
Cd2 Cd 0.159 0.923 0.317
Cd3 Cd 0.500 0.233 0.000
Cd4 Cd 0.500 0.767 0.000
Cd5 Cd 0.841 0.077 0.683
Cd6 Cd 0.841 0.606 0.683
```

---

A plane-wave DFT calculation with GGA-PBE was carried out for an optimized crystal structure of Nb3InH.

Computed properties:
DFT total energy in eV/atom: -7.042
SG: Pnma
D(E_F) in states/eV/atom: 0.5591

Geometry as CIF:
```
data_Nb3InH
_cell_length_a 5.396
_cell_length_b 7.894
_cell_length_c 7.862
_cell_angle_alpha 90.00
_cell_angle_beta 90.00
_cell_angle_gamma 90.00
_symmetry_space_group_name_H-M 'P 1'
_symmetry_Int_Tables_number 1
_symmetry_space_group_name_Hall 'P 1'
loop_
_atom_site_label
_atom_site_type_symbol
_atom_site_fract_x
_atom_site_fract_y
_atom_site_fract_z
H1 H 0.704 0.250 0.484
H2 H 0.796 0.750 0.984
H3 H 0.296 0.750 0.516
H4 H 0.204 0.250 0.016
Nb1 Nb 0.994 0.919 0.856
Nb2 Nb 0.506 0.419 0.356
Nb3 Nb 0.506 0.081 0.356
Nb4 Nb 0.006 0.419 0.144
Nb5 Nb 0.006 0.081 0.144
Nb6 Nb 0.494 0.581 0.644
Nb7 Nb 0.494 0.919 0.644
Nb8 Nb 0.994 0.581 0.856
Nb9 Nb 0.240 0.250 0.757
Nb10 Nb 0.260 0.750 0.257
Nb11 Nb 0.760 0.750 0.243
Nb12 Nb 0.740 0.250 0.743
In1 In 0.000 0.000 0.500
In2 In 0.500 0.500 0.000
In3 In 0.500 0.000 0.000
In4 In 0.000 0.500 0.500
```

---

A plane-wave DFT calculation with GGA-PBE was carried out for an optimized crystal structure of ErMg5Pb8.

Computed properties:
SG: I-4
D(E_F) in states/eV/atom: 0.5485
ΔE_f in eV per atom: -0.02

Geometry as CIF:
```
data_ErMg5Pb8
_cell_length_a 8.054
_cell_length_b 8.054
_cell_length_c 8.054
_cell_angle_alpha 106.81
_cell_angle_beta 114.94
_cell_angle_gamma 106.81
_symmetry_space_group_name_H-M 'P 1'
_symmetry_Int_Tables_number 1
_symmetry_space_group_name_Hall 'P 1'
loop_
_atom_site_label
_atom_site_type_symbol
_atom_site_fract_x
_atom_site_fract_y
_atom_site_fract_z
Er1 Er 0.250 0.500 0.750
Mg1 Mg 0.976 0.253 0.016
Mg2 Mg 0.984 0.959 0.237
Mg3 Mg 0.763 0.747 0.723
Mg4 Mg 0.500 0.000 0.500
Mg5 Mg 0.277 0.041 0.024
Pb1 Pb 0.064 0.644 0.007
Pb2 Pb 0.993 0.057 0.637
Pb3 Pb 0.754 0.307 0.405
Pb4 Pb 0.595 0.349 0.902
Pb5 Pb 0.553 0.651 0.246
Pb6 Pb 0.580 0.943 0.936
Pb7 Pb 0.363 0.356 0.420
Pb8 Pb 0.098 0.693 0.447
```

---

A plane-wave DFT calculation with GGA-PBE was carried out for an optimized crystal structure of TaTi3Mn.

Computed properties:
SG: Pm-3m
D(E_F) in states/eV/atom: 1.2354
ΔE_f in eV per atom: 0.49
Energy above the lowest structure with this stoichiometry in kJ/mol of atoms: 55.7

Geometry as CIF:
```
data_TaTi3Mn
_cell_length_a 4.447
_cell_length_b 4.447
_cell_length_c 4.447
_cell_angle_alpha 90.00
_cell_angle_beta 90.00
_cell_angle_gamma 90.00
_symmetry_space_group_name_H-M 'P 1'
_symmetry_Int_Tables_number 1
_symmetry_space_group_name_Hall 'P 1'
loop_
_atom_site_label
_atom_site_type_symbol
_atom_site_fract_x
_atom_site_fract_y
_atom_site_fract_z
Mn1 Mn 0.000 0.000 0.000
Ti1 Ti 0.000 0.500 0.000
Ti2 Ti 0.000 0.000 0.500
Ti3 Ti 0.500 0.000 0.000
Ta1 Ta 0.500 0.500 0.500
```